InNiAg2F7 | PBE+U | optimized geometry

The raw total energy is -4.07 eV/atom.

The space group is Imma (No. 74) and the conventional cell measures 7.592, 10.791 and 7.963 Å, with angles of 90.00, 90.00 and 90.00 degrees. The distinct sites, in fractional coordinates, are In at (0.000, 0.000, 0.000), Ni at (0.250, 0.250, 0.250), Ag at (0.000, 0.000, 0.500), Ag at (0.250, 0.250, 0.750), F at (0.000, 0.100, 0.769), F at (0.000, 0.250, 0.324) and F at (0.207, 0.119, 0.070).